A relaxed Mg2ZnHg crystal. Source: Alexandria via LeMat-Bulk, functional PBE.

a b c (Å): 4.978 4.978 5.426
angles (deg): 99.93 99.93 38.58
Fractional coordinates of all 4 atoms:
Mg (0.248, 0.248, 0.242)
Mg (0.752, 0.752, 0.758)
Zn (0.500, 0.500, 0.000)
Hg (0.000, 0.000, 0.500)

Properties
* total DFT energy (no corrections): -5.1 eV/cell
* crystal system: monoclinic
* total magnetization: 0.00 Bohr magnetons per cell
* energy relative to the lowest polymorph listed for this composition: 0.075 eV/atom
* Fermi-level density of states: 1.48 states/eV/f.u.


A relaxed Mg2ZnHg2 crystal. Source: Alexandria via LeMat-Bulk, functional PBE.

a b c (Å): 7.264 7.264 7.264
angles (deg): 146.04 146.04 48.79
Fractional coordinates of all 5 atoms:
Mg (0.250, 0.750, 0.500)
Mg (0.750, 0.250, 0.500)
Zn (0.000, 0.000, 0.000)
Hg (0.395, 0.395, 0.000)
Hg (0.605, 0.605, 0.000)

Properties
* total DFT energy (no corrections): -4.5 eV/cell
* crystal system: tetragonal
* total magnetization: 0.00 Bohr magnetons per cell
* energy relative to the lowest polymorph listed for this composition: 0.205 eV/atom
* Fermi-level density of states: 1.94 states/eV/f.u.


A relaxed Mg4ZnHg crystal. Source: Alexandria via LeMat-Bulk, functional PBE.

a b c (Å): 3.467 3.674 9.757
angles (deg): 90.00 90.00 90.00
Fractional coordinates of all 6 atoms:
Mg (0.000, 0.000, 0.152)
Mg (0.000, 0.000, 0.848)
Mg (0.500, 0.500, 0.335)
Mg (0.500, 0.500, 0.665)
Zn (0.500, 0.500, 0.000)
Hg (0.000, 0.000, 0.500)

Properties
* total DFT energy (no corrections): -8.5 eV/cell
* crystal system: orthorhombic
* total magnetization: 0.00 Bohr magnetons per cell
* energy relative to the lowest polymorph listed for this composition: 0.000 eV/atom
* Fermi-level density of states: 1.86 states/eV/f.u.


A relaxed MgZrHg crystal. Source: Alexandria via LeMat-Bulk, functional PBE.

a b c (Å): 5.391 5.391 5.391
angles (deg): 145.99 131.72 60.36
Fractional coordinates of all 3 atoms:
Mg (0.000, 0.000, 0.000)
Zr (0.669, 0.669, 0.000)
Hg (0.339, 0.339, 0.000)

Properties
* total DFT energy (no corrections): -10.3 eV/cell
* crystal system: orthorhombic
* total magnetization: 0.00 Bohr magnetons per cell
* Fermi-level density of states: 2.45 states/eV/f.u.


A relaxed Mg2ZrHg2 crystal. Source: Alexandria via LeMat-Bulk, functional PBE.

a b c (Å): 8.240 8.240 3.088
angles (deg): 90.00 90.00 90.00
Fractional coordinates of all 10 atoms:
Mg (0.126, 0.374, 0.000)
Mg (0.374, 0.874, 0.000)
Mg (0.626, 0.126, 0.000)
Mg (0.874, 0.626, 0.000)
Zr (0.000, 0.000, 0.000)
Zr (0.500, 0.500, 0.000)
Hg (0.174, 0.674, 0.500)
Hg (0.326, 0.174, 0.500)
Hg (0.674, 0.826, 0.500)
Hg (0.826, 0.326, 0.500)

Properties
* total DFT energy (no corrections): -25.2 eV/cell
* crystal system: tetragonal
* total magnetization: 0.00 Bohr magnetons per cell
* energy relative to the lowest polymorph listed for this composition: 0.039 eV/atom
* Fermi-level density of states: 4.10 states/eV/f.u.


A relaxed MgZr2Hg crystal. Source: Alexandria via LeMat-Bulk, functional PBE.

a b c (Å): 5.676 5.676 5.281
angles (deg): 99.89 99.89 31.83
Fractional coordinates of all 4 atoms:
Mg (0.000, 0.000, 0.000)
Zr (0.245, 0.245, 0.745)
Zr (0.755, 0.755, 0.255)
Hg (0.500, 0.500, 0.500)

Properties
* total DFT energy (no corrections): -19.2 eV/cell
* crystal system: monoclinic
* total magnetization: 0.00 Bohr magnetons per cell
* energy relative to the lowest polymorph listed for this composition: 0.113 eV/atom
* Fermi-level density of states: 3.02 states/eV/f.u.


A relaxed MgZr3Hg6 crystal. Source: Alexandria via LeMat-Bulk, functional PBE.

a b c (Å): 9.441 4.510 10.215
angles (deg): 90.00 95.13 90.00
Fractional coordinates of all 20 atoms:
Mg (0.054, 0.250, 0.395)
Mg (0.946, 0.750, 0.605)
Zr (0.247, 0.250, 0.991)
Zr (0.349, 0.750, 0.792)
Zr (0.452, 0.250, 0.596)
Zr (0.548, 0.750, 0.404)
Zr (0.651, 0.250, 0.208)
Zr (0.753, 0.750, 0.009)
Hg (0.051, 0.750, 0.893)
Hg (0.148, 0.250, 0.688)
Hg (0.152, 0.750, 0.197)
Hg (0.244, 0.750, 0.500)
Hg (0.352, 0.250, 0.297)
Hg (0.452, 0.750, 0.096)
Hg (0.548, 0.250, 0.904)
Hg (0.648, 0.750, 0.703)
Hg (0.756, 0.250, 0.500)
Hg (0.848, 0.250, 0.803)
Hg (0.852, 0.750, 0.312)
Hg (0.949, 0.250, 0.107)

Properties
* total DFT energy (no corrections): -60.4 eV/cell
* crystal system: monoclinic
* total magnetization: 0.00 Bohr magnetons per cell
* Fermi-level density of states: 5.96 states/eV/f.u.


A relaxed MgZr2Hg crystal. Source: Alexandria via LeMat-Bulk, functional PBE.

a b c (Å): 6.405 6.405 6.405
angles (deg): 101.06 101.06 128.04
Fractional coordinates of all 8 atoms:
Mg (0.000, 0.000, 0.000)
Mg (0.750, 0.250, 0.500)
Zr (0.137, 0.125, 0.512)
Zr (0.375, 0.863, 0.988)
Zr (0.613, 0.625, 0.488)
Zr (0.875, 0.387, 0.012)
Hg (0.250, 0.750, 0.500)
Hg (0.500, 0.500, 0.000)

Properties
* total DFT energy (no corrections): -35.9 eV/cell
* crystal system: tetragonal
* total magnetization: 0.00 Bohr magnetons per cell
* energy relative to the lowest polymorph listed for this composition: 0.413 eV/atom
* Fermi-level density of states: 3.74 states/eV/f.u.


A relaxed Mg4ZrHg5 crystal. Source: Alexandria via LeMat-Bulk, functional PBE.

a b c (Å): 3.474 3.474 17.565
angles (deg): 90.00 90.00 90.00
Fractional coordinates of all 10 atoms:
Mg (0.000, 0.000, 0.099)
Mg (0.000, 0.000, 0.297)
Mg (0.000, 0.000, 0.703)
Mg (0.000, 0.000, 0.901)
Zr (0.000, 0.000, 0.500)
Hg (0.500, 0.500, 0.000)
Hg (0.500, 0.500, 0.199)
Hg (0.500, 0.500, 0.394)
Hg (0.500, 0.500, 0.606)
Hg (0.500, 0.500, 0.801)

Properties
* total DFT energy (no corrections): -18.5 eV/cell
* crystal system: tetragonal
* total magnetization: 0.00 Bohr magnetons per cell
* Fermi-level density of states: 4.76 states/eV/f.u.


A relaxed MgZrHg crystal. Source: Alexandria via LeMat-Bulk, functional PBE.

a b c (Å): 3.282 5.227 8.202
angles (deg): 71.44 89.31 89.94
Fractional coordinates of all 6 atoms:
Mg (0.248, 0.235, 0.029)
Mg (0.752, 0.765, 0.971)
Zr (0.253, 0.581, 0.336)
Zr (0.747, 0.419, 0.664)
Hg (0.249, 0.920, 0.662)
Hg (0.751, 0.080, 0.338)

Properties
* total DFT energy (no corrections): -21.3 eV/cell
* crystal system: triclinic
* total magnetization: 0.00 Bohr magnetons per cell
* Fermi-level density of states: 1.94 states/eV/f.u.


A relaxed MgZr2Hg6 crystal. Source: Alexandria via LeMat-Bulk, functional PBE.

a b c (Å): 8.670 8.670 3.243
angles (deg): 90.19 90.19 55.86
Fractional coordinates of all 9 atoms:
Mg (0.000, 0.000, 0.000)
Zr (0.308, 0.308, 0.500)
Zr (0.692, 0.692, 0.500)
Hg (0.024, 0.659, 0.002)
Hg (0.325, 0.675, 0.500)
Hg (0.341, 0.976, 0.998)
Hg (0.659, 0.024, 0.002)
Hg (0.675, 0.325, 0.500)
Hg (0.976, 0.341, 0.998)

Properties
* total DFT energy (no corrections): -20.7 eV/cell
* crystal system: monoclinic
* total magnetization: 0.00 Bohr magnetons per cell
* Fermi-level density of states: 3.86 states/eV/f.u.


A relaxed MgZr2Hg crystal. Source: Alexandria via LeMat-Bulk, functional PBE.

a b c (Å): 3.264 4.179 6.468
angles (deg): 90.00 90.00 90.00
Fractional coordinates of all 4 atoms:
Mg (0.000, 0.000, 0.000)
Zr (0.000, 0.000, 0.505)
Zr (0.500, 0.500, 0.259)
Hg (0.500, 0.500, 0.765)

Properties
* total DFT energy (no corrections): -19.3 eV/cell
* crystal system: orthorhombic
* total magnetization: 0.00 Bohr magnetons per cell
* energy relative to the lowest polymorph listed for this composition: 0.084 eV/atom
* Fermi-level density of states: 3.79 states/eV/f.u.


A relaxed MgZrHg crystal. Source: Alexandria via LeMat-Bulk, functional PBE.

a b c (Å): 4.770 4.770 4.770
angles (deg): 60.00 60.00 60.00
Fractional coordinates of all 3 atoms:
Mg (0.000, 0.000, 0.000)
Zr (0.750, 0.750, 0.750)
Hg (0.500, 0.500, 0.500)

Properties
* total DFT energy (no corrections): -9.1 eV/cell
* crystal system: cubic
* total magnetization: 0.00 Bohr magnetons per cell
* Fermi-level density of states: 2.04 states/eV/f.u.


A relaxed MgZr2Hg crystal. Source: Alexandria via LeMat-Bulk, functional PBE.

a b c (Å): 4.974 4.974 4.974
angles (deg): 60.00 60.00 60.00
Fractional coordinates of all 4 atoms:
Mg (0.000, 0.000, 0.000)
Zr (0.250, 0.250, 0.250)
Zr (0.750, 0.750, 0.750)
Hg (0.500, 0.500, 0.500)

Properties
* total DFT energy (no corrections): -19.1 eV/cell
* crystal system: cubic
* total magnetization: 0.00 Bohr magnetons per cell
* energy relative to the lowest polymorph listed for this composition: 0.131 eV/atom
* Fermi-level density of states: 2.24 states/eV/f.u.


A relaxed MgZrHg3 crystal. Source: Alexandria via LeMat-Bulk, functional PBE.

a b c (Å): 5.022 5.022 5.022
angles (deg): 90.00 90.00 90.00
Fractional coordinates of all 5 atoms:
Mg (0.000, 0.000, 0.000)
Zr (0.500, 0.500, 0.500)
Hg (0.000, 0.000, 0.500)
Hg (0.000, 0.500, 0.000)
Hg (0.500, 0.000, 0.000)

Properties
* total DFT energy (no corrections): -8.3 eV/cell
* crystal system: cubic
* total magnetization: 0.00 Bohr magnetons per cell
* energy relative to the lowest polymorph listed for this composition: 0.486 eV/atom
* Fermi-level density of states: 4.41 states/eV/f.u.


A relaxed MgZrHg crystal. Source: Alexandria via LeMat-Bulk, functional PBE.

a b c (Å): 3.167 3.167 7.704
angles (deg): 90.00 90.00 120.00
Fractional coordinates of all 3 atoms:
Mg (0.000, 0.000, 0.000)
Zr (0.667, 0.333, 0.347)
Hg (0.333, 0.667, 0.680)

Properties
* total DFT energy (no corrections): -10.5 eV/cell
* crystal system: trigonal
* total magnetization: 0.00 Bohr magnetons per cell
* Fermi-level density of states: 1.52 states/eV/f.u.


A relaxed MgZr2Hg crystal. Source: Alexandria via LeMat-Bulk, functional PBE.

a b c (Å): 4.368 4.368 4.486
angles (deg): 90.00 90.00 90.00
Fractional coordinates of all 4 atoms:
Mg (0.000, 0.000, 0.000)
Zr (0.000, 0.500, 0.500)
Zr (0.500, 0.000, 0.500)
Hg (0.500, 0.500, 0.000)

Properties
* total DFT energy (no corrections): -19.4 eV/cell
* crystal system: tetragonal
* total magnetization: 0.00 Bohr magnetons per cell
* energy relative to the lowest polymorph listed for this composition: 0.040 eV/atom
* Fermi-level density of states: 4.67 states/eV/f.u.


A relaxed MgZr2Hg crystal. Source: Alexandria via LeMat-Bulk, functional PBE.

a b c (Å): 5.997 5.997 5.997
angles (deg): 148.71 127.50 62.40
Fractional coordinates of all 4 atoms:
Mg (0.000, 0.000, 0.000)
Zr (0.479, 0.479, 0.000)
Zr (0.731, 0.231, 0.500)
Hg (0.227, 0.727, 0.500)

Properties
* total DFT energy (no corrections): -19.2 eV/cell
* crystal system: orthorhombic
* total magnetization: 0.00 Bohr magnetons per cell
* energy relative to the lowest polymorph listed for this composition: 0.088 eV/atom
* Fermi-level density of states: 3.74 states/eV/f.u.


A relaxed MgZr2Hg crystal. Source: Alexandria via LeMat-Bulk, functional PBE.

a b c (Å): 5.025 5.025 5.025
angles (deg): 60.00 60.00 60.00
Fractional coordinates of all 4 atoms:
Mg (0.000, 0.000, 0.000)
Zr (0.250, 0.250, 0.250)
Zr (0.500, 0.500, 0.500)
Hg (0.750, 0.750, 0.750)

Properties
* total DFT energy (no corrections): -18.3 eV/cell
* crystal system: cubic
* total magnetization: 3.31 Bohr magnetons per cell
* energy relative to the lowest polymorph listed for this composition: 0.324 eV/atom
* Fermi-level density of states: 3.13 states/eV/f.u.


A relaxed MgZrHg crystal. Source: Alexandria via LeMat-Bulk, functional PBE.

a b c (Å): 4.788 4.788 3.235
angles (deg): 90.00 90.00 120.00
Fractional coordinates of all 3 atoms:
Mg (0.000, 0.000, 0.000)
Zr (0.667, 0.333, 0.500)
Hg (0.333, 0.667, 0.000)

Properties
* total DFT energy (no corrections): -10.7 eV/cell
* crystal system: hexagonal
* total magnetization: 0.00 Bohr magnetons per cell
* Fermi-level density of states: 3.21 states/eV/f.u.


A relaxed MgZrHg crystal. Source: Alexandria via LeMat-Bulk, functional PBE.

a b c (Å): 6.791 6.791 6.791
angles (deg): 152.89 152.89 38.71
Fractional coordinates of all 3 atoms:
Mg (0.000, 0.000, 0.000)
Zr (0.675, 0.675, 0.000)
Hg (0.341, 0.341, 0.000)

Properties
* total DFT energy (no corrections): -10.8 eV/cell
* crystal system: tetragonal
* total magnetization: 0.00 Bohr magnetons per cell
* Fermi-level density of states: 2.53 states/eV/f.u.


A relaxed MgZr2Hg crystal. Source: Alexandria via LeMat-Bulk, functional PBE.

a b c (Å): 4.499 4.170 9.418
angles (deg): 90.00 90.00 90.00
Fractional coordinates of all 8 atoms:
Mg (0.250, 0.000, 0.116)
Mg (0.750, 0.000, 0.884)
Zr (0.250, 0.000, 0.623)
Zr (0.250, 0.500, 0.380)
Zr (0.750, 0.000, 0.377)
Zr (0.750, 0.500, 0.620)
Hg (0.250, 0.500, 0.873)
Hg (0.750, 0.500, 0.127)

Properties
* total DFT energy (no corrections): -39.2 eV/cell
* crystal system: orthorhombic
* total magnetization: 0.00 Bohr magnetons per cell
* energy relative to the lowest polymorph listed for this composition: 0.000 eV/atom
* Fermi-level density of states: 3.09 states/eV/f.u.


A relaxed MgZr3Hg crystal. Source: Alexandria via LeMat-Bulk, functional PBE.

a b c (Å): 5.295 5.295 5.295
angles (deg): 90.00 90.00 90.00
Fractional coordinates of all 5 atoms:
Mg (0.000, 0.000, 0.000)
Zr (0.000, 0.500, 0.500)
Zr (0.500, 0.000, 0.500)
Zr (0.500, 0.500, 0.000)
Hg (0.500, 0.500, 0.500)

Properties
* total DFT energy (no corrections): -23.1 eV/cell
* crystal system: cubic
* total magnetization: 0.00 Bohr magnetons per cell
* energy relative to the lowest polymorph listed for this composition: 0.000 eV/atom
* Fermi-level density of states: 3.16 states/eV/f.u.


A relaxed Mg3ZrHg4 crystal. Source: Alexandria via LeMat-Bulk, functional PBE.

a b c (Å): 3.408 3.408 14.606
angles (deg): 90.00 90.00 90.00
Fractional coordinates of all 8 atoms:
Mg (0.000, 0.000, 0.000)
Mg (0.000, 0.000, 0.248)
Mg (0.000, 0.000, 0.752)
Zr (0.000, 0.000, 0.500)
Hg (0.500, 0.500, 0.125)
Hg (0.500, 0.500, 0.369)
Hg (0.500, 0.500, 0.631)
Hg (0.500, 0.500, 0.875)

Properties
* total DFT energy (no corrections): -16.2 eV/cell
* crystal system: tetragonal
* total magnetization: 0.00 Bohr magnetons per cell
* Fermi-level density of states: 3.56 states/eV/f.u.


A relaxed MgZr2Hg crystal. Source: Alexandria via LeMat-Bulk, functional PBE.

a b c (Å): 3.199 3.199 8.675
angles (deg): 90.00 90.00 90.00
Fractional coordinates of all 4 atoms:
Mg (0.000, 0.000, 0.000)
Zr (0.000, 0.000, 0.527)
Zr (0.500, 0.500, 0.269)
Hg (0.500, 0.500, 0.778)

Properties
* total DFT energy (no corrections): -19.5 eV/cell
* crystal system: tetragonal
* total magnetization: 0.00 Bohr magnetons per cell
* energy relative to the lowest polymorph listed for this composition: 0.030 eV/atom
* Fermi-level density of states: 4.77 states/eV/f.u.


A relaxed MgZr2Hg crystal. Source: Alexandria via LeMat-Bulk, functional PBE.

a b c (Å): 5.354 5.354 3.270
angles (deg): 90.00 90.00 112.43
Fractional coordinates of all 4 atoms:
Mg (0.000, 0.000, 0.000)
Zr (0.000, 0.500, 0.500)
Zr (0.500, 0.000, 0.500)
Hg (0.500, 0.500, 0.000)

Properties
* total DFT energy (no corrections): -19.3 eV/cell
* crystal system: orthorhombic
* total magnetization: 0.00 Bohr magnetons per cell
* energy relative to the lowest polymorph listed for this composition: 0.070 eV/atom
* Fermi-level density of states: 3.74 states/eV/f.u.


A relaxed MgZrHg crystal. Source: Alexandria via LeMat-Bulk, functional PBE.

a b c (Å): 3.245 3.245 12.535
angles (deg): 90.00 90.00 90.00
Fractional coordinates of all 6 atoms:
Mg (0.000, 0.000, 0.000)
Mg (0.000, 0.000, 0.311)
Zr (0.000, 0.000, 0.639)
Zr (0.500, 0.500, 0.813)
Hg (0.500, 0.500, 0.155)
Hg (0.500, 0.500, 0.465)

Properties
* total DFT energy (no corrections): -21.6 eV/cell
* crystal system: tetragonal
* total magnetization: 0.00 Bohr magnetons per cell
* Fermi-level density of states: 2.27 states/eV/f.u.